[1]
MgTl2Ga | PBE | relaxed

Magnetization (μB/f.u.): 0.00
Formation enthalpy at 0 K (meV per atom): 53
Density of states at the Fermi level (states/eV per cell): 2.5
SG: P4/mmm, No. 123
ΔE to the lowest computed polymorph (eV/atom): 0.015
Electronic total energy (Ry per atom): -0.1680

Lattice parameters (Å, degrees): 4.7036 4.7036 4.5414 90.00 90.00 90.00
Positions (direct):
Mg 0.0000 0.0000 0.0000
Tl 0.0000 0.5000 0.5000
Tl 0.5000 0.0000 0.5000
Ga 0.5000 0.5000 0.0000



[2]
HfMn4P2 | PBE | relaxed

Magnetization (μB/f.u.): 0.01
Formation enthalpy at 0 K (meV per atom): -705
Density of states at the Fermi level (states/eV per cell): 12.6
SG: P4_2/mnm, No. 136
Electronic total energy (Ry per atom): -0.6550

Lattice parameters (Å, degrees): 6.8399 6.8399 3.6492 90.00 90.00 90.00
Positions (direct):
Hf 0.0000 0.0000 0.0000
Hf 0.5000 0.5000 0.5000
Mn 0.0845 0.3443 0.5000
Mn 0.1557 0.5845 0.0000
Mn 0.3443 0.0845 0.5000
Mn 0.4155 0.8443 0.0000
Mn 0.5845 0.1557 0.0000
Mn 0.6557 0.9155 0.5000
Mn 0.8443 0.4155 0.0000
Mn 0.9155 0.6557 0.5000
P 0.2152 0.7848 0.5000
P 0.2848 0.2848 0.0000
P 0.7152 0.7152 0.0000
P 0.7848 0.2152 0.5000



[3]
MnMoPb | PBE | relaxed

Magnetization (μB/f.u.): 0.79
Formation enthalpy at 0 K (meV per atom): 610
Density of states at the Fermi level (states/eV per cell): 2.1
SG: P3m1, No. 156
ΔE to the lowest computed polymorph (eV/atom): 0.065
Electronic total energy (Ry per atom): -0.5360

Lattice parameters (Å, degrees): 3.1690 3.1690 6.5892 90.00 90.00 120.00
Positions (direct):
Mn 0.0000 0.0000 0.0000
Mo 0.6667 0.3333 0.2267
Pb 0.3333 0.6667 0.6273



[4]
Ac3TbSi6 | PBE | relaxed

Raw formation energy (eV/atom): -0.48
Magnetization (μB/f.u.): 0.00
Density of states at the Fermi level (states/eV per cell): 12.6
SG: R-3c, No. 167
Electronic total energy (Ry per atom): -0.3988

Lattice parameters (Å, degrees): 8.0428 8.0428 8.0428 98.33 98.33 98.33
Positions (direct):
Ac 0.1881 0.7500 0.3119
Ac 0.2500 0.6881 0.8119
Ac 0.3119 0.1881 0.7500
Ac 0.6881 0.8119 0.2500
Ac 0.7500 0.3119 0.1881
Ac 0.8119 0.2500 0.6881
Tb 0.0000 0.0000 0.0000
Tb 0.5000 0.5000 0.5000
Si 0.0189 0.0933 0.3907
Si 0.0933 0.3907 0.0189
Si 0.1093 0.4067 0.4811
Si 0.3907 0.0189 0.0933
Si 0.4067 0.4811 0.1093
Si 0.4811 0.1093 0.4067
Si 0.5189 0.8907 0.5933
Si 0.5933 0.5189 0.8907
Si 0.6093 0.9811 0.9067
Si 0.8907 0.5933 0.5189
Si 0.9067 0.6093 0.9811
Si 0.9811 0.9067 0.6093



[5]
SrTa3 | PBE | relaxed

Magnetization (μB/f.u.): 0.35
Formation enthalpy at 0 K (meV per atom): 799
Density of states at the Fermi level (states/eV per cell): 22.3
SG: R-3m, No. 166
Electronic total energy (Ry per atom): -0.6256

Lattice parameters (Å, degrees): 3.0544 3.0544 32.2300 90.00 90.00 120.00
Positions (direct):
Sr 0.0000 0.0000 0.0000
Sr 0.3333 0.6667 0.6667
Sr 0.6667 0.3333 0.3333
Ta 0.0000 0.0000 0.2411
Ta 0.0000 0.0000 0.5000
Ta 0.0000 0.0000 0.7589
Ta 0.3333 0.6667 0.1667
Ta 0.3333 0.6667 0.4256
Ta 0.3333 0.6667 0.9078
Ta 0.6667 0.3333 0.0922
Ta 0.6667 0.3333 0.5744
Ta 0.6667 0.3333 0.8333



[6]
KLiTl2 | PBE | relaxed

Magnetization (μB/f.u.): 0.00
Formation enthalpy at 0 K (meV per atom): -55
Density of states at the Fermi level (states/eV per cell): 2.9
SG: F-43m, No. 216
ΔE to the lowest computed polymorph (eV/atom): 0.079
Electronic total energy (Ry per atom): -0.1463

Lattice parameters (Å, degrees): 7.7436 7.7436 7.7436 90.00 90.00 90.00
Positions (direct):
K 0.0000 0.0000 0.0000
K 0.0000 0.5000 0.5000
K 0.5000 0.0000 0.5000
K 0.5000 0.5000 0.0000
Li 0.2500 0.2500 0.2500
Li 0.2500 0.7500 0.7500
Li 0.7500 0.2500 0.7500
Li 0.7500 0.7500 0.2500
Tl 0.0000 0.0000 0.5000
Tl 0.0000 0.5000 0.0000
Tl 0.2500 0.2500 0.7500
Tl 0.2500 0.7500 0.2500
Tl 0.5000 0.0000 0.0000
Tl 0.5000 0.5000 0.5000
Tl 0.7500 0.2500 0.2500
Tl 0.7500 0.7500 0.7500



[7]
CeNd2Sm5 | PBE | relaxed

Magnetization (μB/f.u.): 0.95
Formation enthalpy at 0 K (meV per atom): 58
Density of states at the Fermi level (states/eV per cell): 66.2
SG: P2_1/c, No. 14
Electronic total energy (Ry per atom): -0.3546

Lattice parameters (Å, degrees): 9.7260 5.8314 19.4679 90.00 98.07 90.00
Positions (direct):
Ce 0.0766 0.2497 0.0383
Ce 0.0766 0.2503 0.5383
Ce 0.9234 0.7497 0.4617
Ce 0.9234 0.7503 0.9617
Nd 0.2048 0.2490 0.2267
Nd 0.2048 0.2510 0.7267
Nd 0.4196 0.7490 0.2093
Nd 0.4196 0.7510 0.7093
Nd 0.5804 0.2490 0.2907
Nd 0.5804 0.2510 0.7907
Nd 0.7952 0.7490 0.2733
Nd 0.7952 0.7510 0.7733
Sm 0.0420 0.7490 0.1426
Sm 0.0420 0.7510 0.6426
Sm 0.1663 0.7491 0.3338
Sm 0.1663 0.7509 0.8338
Sm 0.2865 0.7497 0.0210
Sm 0.2865 0.7503 0.5210
Sm 0.3338 0.2495 0.4176
Sm 0.3338 0.2505 0.9176
Sm 0.4541 0.2493 0.1023
Sm 0.4541 0.2507 0.6023
Sm 0.5459 0.7493 0.3977
Sm 0.5459 0.7507 0.8977
Sm 0.6662 0.7495 0.0824
Sm 0.6662 0.7505 0.5824
Sm 0.7135 0.2497 0.4790
Sm 0.7135 0.2503 0.9790
Sm 0.8337 0.2491 0.1662
Sm 0.8337 0.2509 0.6662
Sm 0.9580 0.2490 0.3574
Sm 0.9580 0.2510 0.8574



[8]
EuBr2Cl | PBE | relaxed

Raw formation energy (eV/atom): -1.28
Magnetization (μB/f.u.): 7.59
Density of states at the Fermi level (states/eV per cell): 46.8
SG: R-3m, No. 166
Electronic total energy (Ry per atom): -0.3784

Lattice parameters (Å, degrees): 4.6234 4.6234 26.8727 90.00 90.00 120.00
Positions (direct):
Eu 0.0000 0.0000 0.0000
Eu 0.3333 0.6667 0.6667
Eu 0.6667 0.3333 0.3333
Br 0.0000 0.0000 0.3871
Br 0.0000 0.0000 0.6129
Br 0.3333 0.6667 0.0538
Br 0.3333 0.6667 0.2796
Br 0.6667 0.3333 0.7204
Br 0.6667 0.3333 0.9462
Cl 0.0000 0.0000 0.5000
Cl 0.3333 0.6667 0.1667
Cl 0.6667 0.3333 0.8333



[9]
TlCd2AgH | PBE | relaxed

Magnetization (μB/f.u.): 0.00
Density of states at the Fermi level (states/eV per cell): 2.1
SG: P4/mmm, No. 123
Electronic total energy (Ry per atom): -0.1363

Lattice parameters (Å, degrees): 5.4151 5.4151 3.5331 90.00 90.00 90.00
Positions (direct):
Tl 0.0000 0.0000 0.0000
Cd 0.0000 0.5000 0.5000
Cd 0.5000 0.0000 0.5000
Ag 0.5000 0.5000 0.0000
H 0.5000 0.5000 0.5000



[10]
FeReRu2 | PBE | relaxed

Magnetization (μB/f.u.): 0.00
Formation enthalpy at 0 K (meV per atom): 1259
Density of states at the Fermi level (states/eV per cell): 18.8
SG: I-42d, No. 122
Electronic total energy (Ry per atom): -0.6326

Lattice parameters (Å, degrees): 5.3026 5.3026 10.9673 90.00 90.00 90.00
Positions (direct):
Fe 0.0000 0.0000 0.0000
Fe 0.0000 0.5000 0.2500
Fe 0.5000 0.0000 0.7500
Fe 0.5000 0.5000 0.5000
Re 0.0000 0.0000 0.5000
Re 0.0000 0.5000 0.7500
Re 0.5000 0.0000 0.2500
Re 0.5000 0.5000 0.0000
Ru 0.2229 0.2500 0.1250
Ru 0.2500 0.7229 0.3750
Ru 0.2500 0.7771 0.8750
Ru 0.2771 0.2500 0.6250
Ru 0.7229 0.7500 0.6250
Ru 0.7500 0.2229 0.8750
Ru 0.7500 0.2771 0.3750
Ru 0.7771 0.7500 0.1250



[11]
Sr2AlOs | PBE | relaxed

Magnetization (μB/f.u.): 0.26
Formation enthalpy at 0 K (meV per atom): 584
Density of states at the Fermi level (states/eV per cell): 5.6
SG: P4/mmm, No. 123
Electronic total energy (Ry per atom): -0.2940

Lattice parameters (Å, degrees): 3.6421 3.6421 8.0563 90.00 90.00 90.00
Positions (direct):
Sr 0.0000 0.0000 0.2196
Sr 0.0000 0.0000 0.7804
Al 0.5000 0.5000 0.5000
Os 0.5000 0.5000 0.0000



[12]
Th2Co12Si3Tc | PBE | relaxed

Raw formation energy (eV/atom): 0.10
Magnetization (μB/f.u.): 10.10
Density of states at the Fermi level (states/eV per cell): 20.4
SG: R-3m, No. 166
Electronic total energy (Ry per atom): -0.5099

Lattice parameters (Å, degrees): 9.0555 9.0555 9.0555 38.78 38.78 38.78
Positions (direct):
Th 0.1508 0.1508 0.1508
Th 0.8492 0.8492 0.8492
Co 0.0880 0.0880 0.6857
Co 0.0880 0.6857 0.0880
Co 0.1376 0.5709 0.5709
Co 0.3143 0.9120 0.9120
Co 0.4291 0.4291 0.8624
Co 0.4291 0.8624 0.4291
Co 0.5709 0.1376 0.5709
Co 0.5709 0.5709 0.1376
Co 0.6857 0.0880 0.0880
Co 0.8624 0.4291 0.4291
Co 0.9120 0.3143 0.9120
Co 0.9120 0.9120 0.3143
Si 0.0000 0.5000 0.5000
Si 0.5000 0.0000 0.5000
Si 0.5000 0.5000 0.0000
Tc 0.5000 0.5000 0.5000



[13]
Gd2Ga8Co | PBE | relaxed

Magnetization (μB/f.u.): 13.95
Formation enthalpy at 0 K (meV per atom): -486
Density of states at the Fermi level (states/eV per cell): 5.3
SG: P4/mmm, No. 123
Electronic total energy (Ry per atom): -0.4331

Lattice parameters (Å, degrees): 4.2588 4.2588 11.1740 90.00 90.00 90.00
Positions (direct):
Gd 0.0000 0.0000 0.1954
Gd 0.0000 0.0000 0.8046
Ga 0.0000 0.5000 0.0000
Ga 0.0000 0.5000 0.3850
Ga 0.0000 0.5000 0.6150
Ga 0.5000 0.0000 0.0000
Ga 0.5000 0.0000 0.3850
Ga 0.5000 0.0000 0.6150
Ga 0.5000 0.5000 0.1947
Ga 0.5000 0.5000 0.8053
Co 0.0000 0.0000 0.5000



[14]
BaTcC3 | PBE | relaxed

Magnetization (μB/f.u.): 1.23
Formation enthalpy at 0 K (meV per atom): 1116
Density of states at the Fermi level (states/eV per cell): 3.3
SG: Pm-3m, No. 221
ΔE to the lowest computed polymorph (eV/atom): 0.000
Electronic total energy (Ry per atom): -0.5054

Lattice parameters (Å, degrees): 4.1682 4.1682 4.1682 90.00 90.00 90.00
Positions (direct):
Ba 0.0000 0.0000 0.0000
Tc 0.5000 0.5000 0.5000
C 0.0000 0.5000 0.5000
C 0.5000 0.0000 0.5000
C 0.5000 0.5000 0.0000



[15]
CaPrSc | PBE | relaxed

Magnetization (μB/f.u.): 0.00
Formation enthalpy at 0 K (meV per atom): 102
Density of states at the Fermi level (states/eV per cell): 10.6
SG: I4mm, No. 107
ΔE to the lowest computed polymorph (eV/atom): 0.000
Electronic total energy (Ry per atom): -0.3137

Lattice parameters (Å, degrees): 3.6527 3.6527 14.9789 90.00 90.00 90.00
Positions (direct):
Ca 0.0000 0.0000 0.0000
Ca 0.5000 0.5000 0.5000
Pr 0.0000 0.0000 0.3115
Pr 0.5000 0.5000 0.8115
Sc 0.0000 0.0000 0.6672
Sc 0.5000 0.5000 0.1672



[16]
CdIn3Sn | PBE | relaxed

Magnetization (μB/f.u.): 0.00
Formation enthalpy at 0 K (meV per atom): 28
Density of states at the Fermi level (states/eV per cell): 2.6
SG: C2/m, No. 12
ΔE to the lowest computed polymorph (eV/atom): 0.000
Electronic total energy (Ry per atom): -0.1910

Lattice parameters (Å, degrees): 6.0249 6.0249 10.5261 95.30 95.30 44.16
Positions (direct):
Cd 0.0507 0.0507 0.3525
Cd 0.9493 0.9493 0.6475
In 0.1508 0.1508 0.0515
In 0.2495 0.2495 0.7473
In 0.3531 0.3531 0.4527
In 0.6469 0.6469 0.5473
In 0.7505 0.7505 0.2527
In 0.8492 0.8492 0.9485
Sn 0.4531 0.4531 0.1549
Sn 0.5469 0.5469 0.8451



[17]
Tb2NdAl2 | PBE | relaxed

Magnetization (μB/f.u.): 0.00
Formation enthalpy at 0 K (meV per atom): -30
Density of states at the Fermi level (states/eV per cell): 9.1
SG: Cmcm, No. 63
ΔE to the lowest computed polymorph (eV/atom): 0.261
Electronic total energy (Ry per atom): -0.3185

Lattice parameters (Å, degrees): 8.7017 8.7017 5.5585 90.00 90.00 137.40
Positions (direct):
Tb 0.0873 0.9127 0.7500
Tb 0.3014 0.6986 0.2500
Tb 0.6986 0.3014 0.7500
Tb 0.9127 0.0873 0.2500
Nd 0.5000 0.5000 0.0000
Nd 0.5000 0.5000 0.5000
Al 0.0901 0.3622 0.7500
Al 0.3622 0.0901 0.2500
Al 0.6378 0.9099 0.7500
Al 0.9099 0.6378 0.2500



[18]
CdHPd2 | PBE | relaxed

Magnetization (μB/f.u.): 0.00
Density of states at the Fermi level (states/eV per cell): 2.7
SG: P-1, No. 2
ΔE to the lowest computed polymorph (eV/atom): 0.000
Electronic total energy (Ry per atom): -0.2873

Lattice parameters (Å, degrees): 3.0370 5.8009 6.5886 74.47 76.84 89.63
Positions (direct):
Cd 0.1541 0.0891 0.1895
Cd 0.8459 0.9109 0.8105
H 0.4006 0.4370 0.6904
H 0.5994 0.5630 0.3096
Pd 0.1778 0.6001 0.1477
Pd 0.4991 0.2490 0.5003
Pd 0.5009 0.7510 0.4997
Pd 0.8222 0.3999 0.8523



[19]
NaThTlAu | PBE | relaxed

Magnetization (μB/f.u.): 0.00
Formation enthalpy at 0 K (meV per atom): -242
Density of states at the Fermi level (states/eV per cell): 12.6
SG: F-43m, No. 216
Electronic total energy (Ry per atom): -0.2821

Lattice parameters (Å, degrees): 7.4263 7.4263 7.4263 90.00 90.00 90.00
Positions (direct):
Na 0.0000 0.0000 0.0000
Na 0.0000 0.5000 0.5000
Na 0.5000 0.0000 0.5000
Na 0.5000 0.5000 0.0000
Th 0.0000 0.0000 0.5000
Th 0.0000 0.5000 0.0000
Th 0.5000 0.0000 0.0000
Th 0.5000 0.5000 0.5000
Tl 0.2500 0.2500 0.2500
Tl 0.2500 0.7500 0.7500
Tl 0.7500 0.2500 0.7500
Tl 0.7500 0.7500 0.2500
Au 0.2500 0.2500 0.7500
Au 0.2500 0.7500 0.2500
Au 0.7500 0.2500 0.2500
Au 0.7500 0.7500 0.7500



[20]
NbReSe6 | PBE | relaxed

Raw formation energy (eV/atom): -0.19
Magnetization (μB/f.u.): 0.00
Density of states at the Fermi level (states/eV per cell): 4.9
SG: P-1, No. 2
Electronic total energy (Ry per atom): -0.4127

Lattice parameters (Å, degrees): 6.0404 6.3246 6.3285 69.03 63.46 63.42
Positions (direct):
Nb 0.0000 0.0000 0.0000
Re 0.5000 0.5000 0.5000
Se 0.0503 0.7433 0.7422
Se 0.3544 0.6374 0.1514
Se 0.3564 0.1498 0.6395
Se 0.6436 0.8502 0.3605
Se 0.6456 0.3626 0.8486
Se 0.9497 0.2567 0.2578